A plane-wave DFT calculation with PBE was carried out for an optimized crystal structure of Na2TcSbO6.

Cell: 3.8923 5.5937 5.5937 Å, 90.00 90.00 90.00°
Closest atoms and distances in Å follow each position.
Sites, in units of the cell vectors:
Na1 0.1435 0.5000 0.0000  12 O 2.77-2.80
Na2 0.1435 0.0000 0.5000  12 O 2.77-2.80
Tc1 0.6446 0.5000 0.5000  6 O 1.94-1.97
Sb1 0.6447 0.0000 0.0000  6 O 1.95-1.98
O1 0.6452 0.2507 0.2507  1 Tc 1.97, 1 Sb 1.98
O2 0.6452 0.2507 0.7493  1 Tc 1.97, 1 Sb 1.98
O3 0.1449 0.5000 0.5000  2 Tc 1.94-1.95
O4 0.1447 0.0000 0.0000  2 Sb 1.95
O5 0.6452 0.7493 0.7493  1 Tc 1.97, 1 Sb 1.98
O6 0.6452 0.7493 0.2507  1 Tc 1.97, 1 Sb 1.98

Properties
V (Å³/cell): 122
N(E_F) (states/eV/cell): 2.87
Formation energy (no corrections) (eV per atom): -1.45
Space-group type: P4/mmm
M_tot (μB/cell): 1.57


A plane-wave DFT calculation with PBE was carried out for an optimized crystal structure of NaTcSb2O8.

Cell: 4.8202 4.8054 6.3309 Å, 90.00 90.00 88.05°
Closest atoms and distances in Å follow each position.
Sites, in units of the cell vectors:
Na1 0.0000 0.0000 0.5000  6 O 2.20-2.25
Tc1 0.0000 0.0000 0.0000  6 O 1.93-2.08
Sb1 0.5000 0.5000 0.7463  6 O 2.00-2.12
Sb2 0.5000 0.5000 0.2537  6 O 2.00-2.12
O1 0.2008 0.7947 0.2173  1 Tc 1.93, 1 Sb 2.00
O2 0.6977 0.7018 0.0000  1 Tc 2.08, 2 Sb 2.12
O3 0.7992 0.2053 0.2173  1 Tc 1.93, 1 Sb 2.00
O4 0.7992 0.2053 0.7827  1 Tc 1.93, 1 Sb 2.00
O5 0.3023 0.2982 0.0000  1 Tc 2.08, 2 Sb 2.12
O6 0.2008 0.7947 0.7827  1 Tc 1.93, 1 Sb 2.00
O7 0.6801 0.6850 0.5000  2 Sb 2.01, 1 Na 2.20
O8 0.3199 0.3150 0.5000  2 Sb 2.01, 1 Na 2.20

Properties
V (Å³/cell): 147
N(E_F) (states/eV/cell): 4.36
Formation energy (no corrections) (eV per atom): -1.35
Space-group type: P2/m
M_tot (μB/cell): 1.87


A plane-wave DFT calculation with PBE was carried out for an optimized crystal structure of NaTc2SbO8.

Cell: 5.2900 5.2900 8.8580 Å, 72.63 72.63 60.00°
Closest atoms and distances in Å follow each position.
Sites, in units of the cell vectors:
Na1 0.0000 0.0000 0.0000  12 O 3.07-3.28
Tc1 0.7486 0.7486 0.7543  4 O 1.75-1.81
Tc2 0.2514 0.2514 0.2457  4 O 1.75-1.81
Sb1 0.5000 0.5000 0.5000  6 O 2.27
O1 0.6785 0.6785 0.9645  1 Tc 1.75
O2 0.3215 0.3215 0.0355  1 Tc 1.75
O3 0.5350 0.2413 0.3245  1 Tc 1.81
O4 0.7587 0.4650 0.6755  1 Tc 1.81
O5 0.1008 0.7587 0.6755  1 Tc 1.81
O6 0.2413 0.8992 0.3245  1 Tc 1.81
O7 0.8992 0.5350 0.3245  1 Tc 1.81
O8 0.4650 0.1008 0.6755  1 Tc 1.81

Properties
V (Å³/cell): 202
N(E_F) (states/eV/cell): 5.08
Formation energy (no corrections) (eV per atom): -1.27
Space-group type: R32
M_tot (μB/cell): 2.07


A plane-wave DFT calculation with PBE was carried out for an optimized crystal structure of NaSbTe2O.

Cell: 5.3167 5.3167 5.4381 Å, 90.00 90.00 90.00°
Closest atoms and distances in Å follow each position.
Sites, in units of the cell vectors:
Sb1 0.0000 0.0000 0.5000  2 Na 2.72
Te1 0.0000 0.5000 0.0000  2 Na 2.66
Te2 0.5000 0.0000 0.0000  2 Na 2.66
O1 0.5000 0.5000 0.5000  4 Sb 3.76, 8 Te 3.80
Na1 0.0000 0.0000 0.0000  4 Te 2.66, 2 Sb 2.72

Properties
V (Å³/cell): 154
N(E_F) (states/eV/cell): 12.54
Formation energy (no corrections) (eV per atom): 1.17
Space-group type: P4/mmm
M_tot (μB/cell): 0.00


A plane-wave DFT calculation with PBE was carried out for an optimized crystal structure of NaSbTe2O.

Cell: 5.5739 4.0458 5.5739 Å, 90.00 90.00 90.00°
Closest atoms and distances in Å follow each position.
Sites, in units of the cell vectors:
Sb1 0.5000 0.5000 0.5000  8 Te 3.44
Te1 0.0000 0.0000 0.5000  2 Na 2.79
Te2 0.5000 0.0000 0.0000  2 Na 2.79
O1 0.0000 0.5000 0.0000  2 Na 2.02
Na1 0.0000 0.0000 0.0000  2 O 2.02

Properties
V (Å³/cell): 126
N(E_F) (states/eV/cell): 6.70
Formation energy (no corrections) (eV per atom): 0.38
Space-group type: P4/mmm
M_tot (μB/cell): 0.00


A plane-wave DFT calculation with PBE was carried out for an optimized crystal structure of NaSbTe2O.

Cell: 5.0230 5.0230 4.7219 Å, 90.00 90.00 90.00°
Closest atoms and distances in Å follow each position.
Sites, in units of the cell vectors:
Sb1 0.0000 0.0000 0.5000  2 O 2.36
Te1 0.0000 0.5000 0.0000  2 O 2.51
Te2 0.5000 0.0000 0.0000  2 O 2.51
O1 0.0000 0.0000 0.0000  2 Sb 2.36, 4 Te 2.51
Na1 0.5000 0.5000 0.5000  8 Te 3.45, 4 Sb 3.55

Properties
V (Å³/cell): 119
N(E_F) (states/eV/cell): 2.72
Formation energy (no corrections) (eV per atom): -0.18
Space-group type: P4/mmm
M_tot (μB/cell): 0.00


A plane-wave DFT calculation with PBE was carried out for an optimized crystal structure of NaSbTeO6.

Cell: 5.2872 5.2872 10.5295 Å, 90.00 90.00 120.00°
Closest atoms and distances in Å follow each position.
Sites, in units of the cell vectors:
Na1 0.0000 0.0000 0.0000  6 O 2.51
Na2 0.0000 0.0000 0.5000  6 O 2.51
Sb1 0.3333 0.6667 0.2500  6 O 2.03
Sb2 0.6667 0.3333 0.7500  6 O 2.03
Te1 0.6667 0.3333 0.2500  6 O 1.97
Te2 0.3333 0.6667 0.7500  6 O 1.97
O1 0.6284 0.6201 0.1450  1 Te 1.97, 1 Sb 2.03
O2 0.9917 0.3716 0.1450  1 Te 1.97, 1 Sb 2.03
O3 0.3716 0.9917 0.6450  1 Te 1.97, 1 Sb 2.03
O4 0.0083 0.6284 0.8550  1 Te 1.97, 1 Sb 2.03
O5 0.3799 0.3716 0.3550  1 Te 1.97, 1 Sb 2.03
O6 0.9917 0.6201 0.3550  1 Te 1.97, 1 Sb 2.03
O7 0.6201 0.9917 0.8550  1 Te 1.97, 1 Sb 2.03
O8 0.6284 0.0083 0.3550  1 Te 1.97, 1 Sb 2.03
O9 0.0083 0.3799 0.6450  1 Te 1.97, 1 Sb 2.03
O10 0.3799 0.0083 0.1450  1 Te 1.97, 1 Sb 2.03
O11 0.6201 0.6284 0.6450  1 Te 1.97, 1 Sb 2.03
O12 0.3716 0.3799 0.8550  1 Te 1.97, 1 Sb 2.03

Properties
V (Å³/cell): 255
N(E_F) (states/eV/cell): 0.00
Formation energy (no corrections) (eV per atom): -1.35
Space-group type: P-31c
M_tot (μB/cell): 0.00


A plane-wave DFT calculation with PBE was carried out for an optimized crystal structure of NaTiSbO2.

Cell: 4.1701 5.6900 4.1701 Å, 90.00 90.00 90.00°
Closest atoms and distances in Å follow each position.
Sites, in units of the cell vectors:
Sb1 0.0000 0.0000 0.0000  4 O 2.09
Na1 0.0000 0.5000 0.0000  2 Sb 2.85, 4 Ti 2.95
O1 0.0000 0.0000 0.5000  2 Sb 2.09
O2 0.5000 0.0000 0.0000  2 Sb 2.09
Ti1 0.5000 0.5000 0.5000  4 Na 2.95

Properties
V (Å³/cell): 99
N(E_F) (states/eV/cell): 5.04
Formation energy (no corrections) (eV per atom): 0.36
Space-group type: P4/mmm
M_tot (μB/cell): 0.00


A plane-wave DFT calculation with PBE was carried out for an optimized crystal structure of Na2TiSbO6.

Cell: 5.5584 5.5582 7.8598 Å, 90.00 90.00 90.00°
Closest atoms and distances in Å follow each position.
Sites, in units of the cell vectors:
Na1 0.5000 0.7496 0.2497  12 O 2.78
Na2 0.0000 0.2504 0.7497  12 O 2.78
Na3 0.5000 0.7496 0.7503  12 O 2.78
Na4 0.0000 0.2504 0.2503  12 O 2.78
Ti1 0.0000 0.7500 0.5000  6 O 1.95
Ti2 0.5000 0.2500 0.0000  6 O 1.95
Sb1 0.5000 0.2498 0.5000  6 O 1.98
Sb2 0.0000 0.7502 0.0000  6 O 1.98
O1 0.5000 0.2501 0.2482  1 Ti 1.95, 1 Sb 1.98
O2 0.5000 0.2501 0.7518  1 Ti 1.95, 1 Sb 1.98
O3 0.0000 0.7499 0.2518  1 Ti 1.95, 1 Sb 1.98
O4 0.0000 0.7499 0.7482  1 Ti 1.95, 1 Sb 1.98
O5 0.2483 0.9980 0.5000  1 Ti 1.95, 1 Sb 1.98
O6 0.7517 0.9980 0.5000  1 Ti 1.95, 1 Sb 1.98
O7 0.2481 0.5015 0.5000  1 Ti 1.95, 1 Sb 1.98
O8 0.7519 0.5015 0.5000  1 Ti 1.95, 1 Sb 1.98
O9 0.7481 0.4985 0.0000  1 Ti 1.95, 1 Sb 1.98
O10 0.2519 0.4985 0.0000  1 Ti 1.95, 1 Sb 1.98
O11 0.2517 0.0020 0.0000  1 Ti 1.95, 1 Sb 1.98
O12 0.7483 0.0020 0.0000  1 Ti 1.95, 1 Sb 1.98

Properties
V (Å³/cell): 243
N(E_F) (states/eV/cell): 11.07
Formation energy (no corrections) (eV per atom): -1.88
Space-group type: Fm-3m
M_tot (μB/cell): 0.84


A plane-wave DFT calculation with PBE was carried out for an optimized crystal structure of NaTl2SbO6.

Cell: 5.6823 5.6824 6.0008 Å, 61.74 61.74 60.00°
Closest atoms and distances in Å follow each position.
Sites, in units of the cell vectors:
Na1 0.8071 0.8071 0.5789  6 O 2.31-2.50
Tl1 0.5318 0.5317 0.4047  6 O 2.26-2.44
Tl2 0.0258 0.0258 0.9225  6 O 2.20-2.46
Sb1 0.3205 0.3205 0.0384  6 O 2.02-2.04
O1 0.5718 0.2205 0.2449  1 Sb 2.02, 1 Tl 2.26
O2 0.2205 0.9627 0.2449  1 Sb 2.02, 1 Tl 2.26
O3 0.9627 0.5718 0.2449  1 Sb 2.02, 1 Tl 2.26
O4 0.4079 0.6818 0.7787  1 Sb 2.04, 1 Tl 2.20
O5 0.6818 0.1317 0.7786  1 Sb 2.04, 1 Tl 2.20
O6 0.1316 0.4079 0.7787  1 Sb 2.04, 1 Tl 2.20

Properties
V (Å³/cell): 141
N(E_F) (states/eV/cell): 0.18
Formation energy (no corrections) (eV per atom): -1.13
Space-group type: R3
M_tot (μB/cell): 0.00


A plane-wave DFT calculation with PBE was carried out for an optimized crystal structure of Na2TlSbO4.

Cell: 6.5608 6.5608 6.5608 Å, 69.49 132.47 132.47°
Closest atoms and distances in Å follow each position.
Sites, in units of the cell vectors:
Na1 0.5000 0.7500 0.2500  4 O 2.34
Na2 0.0000 0.0000 0.0000  4 O 2.44
Tl1 0.5000 0.2500 0.7500  4 O 2.63
Sb1 0.0000 0.5000 0.5000  4 O 1.92
O1 0.5808 0.4173 0.3660  1 Sb 1.92
O2 0.9487 0.1636 0.5827  1 Sb 1.92
O3 0.0513 0.6340 0.2148  1 Sb 1.92
O4 0.4192 0.7852 0.8364  1 Sb 1.92

Properties
V (Å³/cell): 151
N(E_F) (states/eV/cell): 0.00
Formation energy (no corrections) (eV per atom): -1.35
Space-group type: I-4
M_tot (μB/cell): 0.00


A plane-wave DFT calculation with PBE was carried out for an optimized crystal structure of Na3Tl3SbO8.

Cell: 6.8376 6.8371 6.8944 Å, 119.76 90.00 120.00°
Closest atoms and distances in Å follow each position.
Sites, in units of the cell vectors:
Na1 0.0000 0.0000 0.0000  6 O 2.49-2.56
Na2 0.0000 0.5000 0.0000  6 O 2.48-2.56
Na3 0.5000 0.5000 0.0000  6 O 2.48-2.56
Tl1 0.5000 0.0000 0.5000  6 O 2.30-2.43
Tl2 0.5000 0.5000 0.5000  6 O 2.30-2.43
Tl3 0.0000 0.5000 0.5000  6 O 2.30-2.43
Sb1 0.0000 0.0000 0.5000  6 O 2.05
O1 0.2630 0.5261 0.2895  3 Tl 2.30, 3 Na 2.56
O2 0.7370 0.4739 0.7105  3 Tl 2.30, 3 Na 2.56
O3 0.7888 0.5775 0.2942  1 Sb 2.05
O4 0.2112 0.4225 0.7058  1 Sb 2.05
O5 0.7887 0.0051 0.2941  1 Sb 2.05
O6 0.2113 0.9949 0.7059  1 Sb 2.05
O7 0.2163 0.0051 0.2941  1 Sb 2.05
O8 0.7837 0.9949 0.7059  1 Sb 2.05

Properties
V (Å³/cell): 229
N(E_F) (states/eV/cell): 1.17
Formation energy (no corrections) (eV per atom): -1.18
Space-group type: R-3m
M_tot (μB/cell): 0.00